--- P ---
ReNi4Rh: relaxed, PBE.

Values from the calculation:
Calculated volume ... 11.88 Å³ per atom
DOS(E_F) ... 6.69 states/eV per cell

The structure in POSCAR format:
```
ReNi4Rh
1.0
-4.560 0.915 -0.173
-1.948 1.376 -3.997
-2.862 -2.861 -2.300
Ni Rh Re
4 1 1
Direct
0.375 0.375 0.874
0.375 0.375 0.375
0.375 0.874 0.375
0.874 0.375 0.375
0.000 0.000 0.000
0.750 0.750 0.750
```



--- Q ---
ReNi4Rh: relaxed, PBE.

Values from the calculation:
Calculated volume ... 12.15 Å³ per atom
DOS(E_F) ... 14.97 states/eV per cell

The structure in POSCAR format:
```
ReNi4Rh
1.0
-2.130 3.884 -0.581
-4.176 -1.928 2.427
2.929 0.800 5.677
Ni Rh Re
8 2 2
Direct
0.221 0.494 0.673
0.000 0.500 0.000
0.512 0.250 0.993
0.221 0.006 0.673
0.000 0.000 0.000
0.779 0.506 0.327
0.488 0.750 0.007
0.779 0.994 0.327
0.725 0.750 0.666
0.275 0.250 0.334
0.725 0.250 0.664
0.275 0.750 0.336
```



Tell me which of them is the most stable. Sure, it is Q.



--- P ---
ReNi3Rh4: relaxed, PBE.

Values from the calculation:
Calculated volume ... 13.14 Å³ per atom
DOS(E_F) ... 11.51 states/eV per cell

The structure in POSCAR format:
```
ReNi3Rh4
1.0
3.672 0.000 0.923
1.793 4.125 0.634
0.205 -0.906 6.955
Rh Re Ni
4 1 3
Direct
0.376 0.375 0.873
0.624 0.625 0.127
0.126 0.126 0.623
0.874 0.874 0.377
0.000 0.000 0.000
0.500 0.500 0.500
0.257 0.242 0.245
0.743 0.758 0.755
```



--- Q ---
ReNi3Rh4: relaxed, PBE.

Values from the calculation:
Calculated volume ... 13.53 Å³ per atom
DOS(E_F) ... 10.23 states/eV per cell

The structure in POSCAR format:
```
ReNi3Rh4
1.0
2.669 0.000 0.000
0.000 9.565 -1.102
-1.334 -8.701 5.244
Re Ni Rh
1 3 4
Direct
0.000 0.000 0.000
0.500 0.500 0.000
0.261 0.631 0.522
0.739 0.369 0.478
0.480 0.724 0.959
0.763 0.145 0.526
0.237 0.855 0.474
0.520 0.276 0.041
```



Tell me which of them is the most stable. Sure, it is P.



--- P ---
Re2NiRh6: relaxed, PBE.

Values from the calculation:
Calculated volume ... 14.01 Å³ per atom
DOS(E_F) ... 9.52 states/eV per cell

The structure in POSCAR format:
```
Re2NiRh6
1.0
3.832 0.000 0.000
1.916 4.263 -0.145
1.916 2.056 7.647
Re Rh Ni
2 6 1
Direct
0.670 0.383 0.276
0.330 0.617 0.724
0.671 0.716 0.942
0.665 0.064 0.606
0.329 0.284 0.058
0.000 0.822 0.178
0.335 0.936 0.394
0.000 0.178 0.822
0.000 0.500 0.500
```



--- Q ---
Re2NiRh6: relaxed, PBE.

Values from the calculation:
Calculated volume ... 14.63 Å³ per atom
DOS(E_F) ... 11.28 states/eV per cell

The structure in POSCAR format:
```
Re2NiRh6
1.0
2.620 0.000 -0.702
-1.497 12.130 -5.574
0.284 -4.516 6.290
Rh Ni Re
6 1 2
Direct
0.322 0.151 0.646
0.323 0.496 0.648
0.499 0.858 0.999
0.677 0.504 0.352
0.678 0.849 0.354
0.501 0.142 0.001
0.000 0.500 0.000
0.182 0.182 0.363
0.818 0.818 0.637
```



Tell me which of them is the most stable. Sure, it is P.